1.
Material: SrTaO3
Method: DFT, PBE
State: optimized geometry

Computed properties:
magnetization: 0.200 μB/atom
final energy: -8.322 eV per atom

Cell lengths 5.6167, 5.6167, 6.1944 Å; angles 63.04, 63.04, 60.00 degrees
Element x y z (fractional)
O1 0.5575 0.1926 0.2870
O2 0.1926 0.9629 0.2870
O3 0.9630 0.5575 0.2870
O4 0.0370 0.4425 0.7130
O5 0.8074 0.0371 0.7130
O6 0.4425 0.8074 0.7130
Sr1 0.6361 0.6361 0.0918
Sr2 0.3639 0.3639 0.9082
Ta1 0.8438 0.8438 0.4686
Ta2 0.1562 0.1562 0.5314



2.
Material: Zr3Co4P
Method: DFT, PBE
State: optimized geometry

Computed properties:
magnetization: 0.001 μB/atom
final energy: -7.804 eV per atom

Cell lengths 5.3956, 4.0053, 5.5748 Å; angles 90.00, 90.12, 90.00 degrees
Element x y z (fractional)
Co1 0.1477 0.0000 0.5199
Co2 0.8221 0.5000 0.5285
Co3 0.8242 0.5000 0.9694
Co4 0.1483 0.0000 0.9817
P1 0.8091 0.0000 0.7496
Zr1 0.6648 0.0000 0.2490
Zr2 0.1926 0.5000 0.2509
Zr3 0.3912 0.5000 0.7509



3.
Material: YTmPd2
Method: DFT, PBE
State: optimized geometry

Computed properties:
magnetization: 0.002 μB/atom
DFT formation energy: -0.933 eV/atom

Cell lengths 4.4736, 5.6548, 6.8663 Å; angles 90.00, 90.00, 90.00 degrees
Element x y z (fractional)
Pd1 0.5000 0.0996 0.0418
Pd2 0.0000 0.5931 0.4573
Pd3 0.5000 0.9004 0.5418
Pd4 0.0000 0.4069 0.9573
Tm1 0.5000 0.6083 0.1815
Tm2 0.5000 0.3917 0.6815
Y1 0.0000 0.1083 0.3195
Y2 0.0000 0.8917 0.8195



4.
Material: SmRe
Method: DFT, PBE
State: optimized geometry

Computed properties:
magnetization: 0.007 μB/atom
DFT formation energy: 0.940 eV/atom

Cell lengths 3.1041, 3.1040, 4.9698 Å; angles 90.00, 90.00, 120.00 degrees
Element x y z (fractional)
Re1 0.6667 0.3333 0.7500
Sm1 0.3333 0.6667 0.2500



5.
Material: TbGd2Cu4Sn2Ge2
Method: DFT, PBE
State: optimized geometry

Computed properties:
magnetization: 0.000 μB/atom
final energy: -4.789 eV per atom

Cell lengths 8.3040, 8.3040, 8.3040 Å; angles 149.43, 132.31, 57.71 degrees
Element x y z (fractional)
Cu1 0.6513 0.3406 0.3107
Cu2 0.9701 0.6594 0.3107
Cu3 0.3487 0.6594 0.6893
Cu4 0.0299 0.3406 0.6893
Gd1 0.6256 0.1256 0.5000
Gd2 0.3744 0.8744 0.5000
Ge1 0.6909 0.5000 0.1909
Ge2 0.3091 0.5000 0.8091
Sn1 0.2174 0.2174 0.0000
Sn2 0.7826 0.7826 0.0000
Tb1 0.0000 0.0000 0.0000



6.
Material: YErMg6
Method: DFT, PBE
State: optimized geometry

Computed properties:
magnetization: 0.000 μB/atom
final energy: -2.607 eV per atom

Cell lengths 6.6612, 6.6612, 5.1784 Å; angles 90.00, 90.00, 120.00 degrees
Element x y z (fractional)
Er1 0.0000 0.0000 0.0000
Mg1 0.0061 0.5031 0.0000
Mg2 0.4969 0.5031 0.0000
Mg3 0.4969 0.9939 0.0000
Mg4 0.1695 0.3390 0.5000
Mg5 0.1695 0.8305 0.5000
Mg6 0.6610 0.8305 0.5000
Y1 0.6667 0.3333 0.5000